Entry 1:
Here is a PBEsol-optimized structure of MgMnMo2 from the Alexandria database. Energies are from meta-GGA SCAN.

The structure in CIF format:
```
data_MgMnMo2
_chemical_formula_sum 'Mg2 Mn2 Mo4'
_cell_length_a 5.2111
_cell_length_b 8.7765
_cell_length_c 2.6064
_cell_angle_alpha 90.00
_cell_angle_beta 90.00
_cell_angle_gamma 90.00
_symmetry_space_group_name_H-M 'C m m m'
_symmetry_Int_Tables_number 65
_symmetry_space_group_name_Hall '-C 2 2'
loop_
_atom_site_label
_atom_site_fract_x
_atom_site_fract_y
_atom_site_fract_z
Mg1 0.0000 0.0000 0.0000
Mn1 0.0000 0.5000 0.0000
Mo1 0.2500 0.2500 0.5000
```

Summary:
**Calculated volume**: 119 Å³/cell
**ΔH_f (0 K)**: 270 meV per atom
**Crystal system**: orthorhombic
**N(E_F)**: 0.793 states/eV/atom

=====

Entry 2:
Here is a PBEsol-optimized structure of Zr5GeSb3 from the Alexandria database. Energies are from meta-GGA SCAN.

The structure in CIF format:
```
data_Zr5GeSb3
_chemical_formula_sum 'Zr10 Ge2 Sb6'
_cell_length_a 8.5811
_cell_length_b 8.5811
_cell_length_c 5.8018
_cell_angle_alpha 90.00
_cell_angle_beta 90.00
_cell_angle_gamma 120.00
_symmetry_space_group_name_H-M 'P 63/m c m'
_symmetry_Int_Tables_number 193
_symmetry_space_group_name_Hall '-P 6c 2'
loop_
_atom_site_label
_atom_site_fract_x
_atom_site_fract_y
_atom_site_fract_z
Zr1 0.0000 0.2648 0.2500
Zr2 0.3333 0.6667 0.0000
Ge1 0.0000 0.0000 0.0000
Sb1 0.0000 0.3935 0.7500
```

Summary:
**Calculated volume**: 370 Å³/cell
**Crystal system**: hexagonal
**Formation energy without anion corrections**: -8.2 eV/f.u.
**N(E_F)**: 0.457 states/eV/atom

=====

Entry 3:
Here is a PBEsol-optimized structure of CsIn2Hg2 from the Alexandria database. Energies are from meta-GGA SCAN.

The structure in CIF format:
```
data_CsIn2Hg2
_chemical_formula_sum 'Cs2 In4 Hg4'
_cell_length_a 4.8774
_cell_length_b 4.8774
_cell_length_c 12.7919
_cell_angle_alpha 90.00
_cell_angle_beta 90.00
_cell_angle_gamma 90.00
_symmetry_space_group_name_H-M 'I 4/m m m'
_symmetry_Int_Tables_number 139
_symmetry_space_group_name_Hall '-I 4 2'
loop_
_atom_site_label
_atom_site_fract_x
_atom_site_fract_y
_atom_site_fract_z
Cs1 0.0000 0.0000 0.0000
In1 0.0000 0.5000 0.2500
Hg1 0.0000 0.0000 0.3833
```

Summary:
**Calculated volume**: 304 Å³/cell
**ΔH_f (0 K)**: -209 meV per atom
**Crystal system**: tetragonal
**N(E_F)**: 0.536 states/eV/atom

=====

Entry 4:
Here is a PBEsol-optimized structure of NiC2 from the Alexandria database. Energies are from meta-GGA SCAN.

The structure in CIF format:
```
data_NiC2
_chemical_formula_sum 'Ni2 C4'
_cell_length_a 2.4277
_cell_length_b 2.4277
_cell_length_c 7.5030
_cell_angle_alpha 90.00
_cell_angle_beta 90.00
_cell_angle_gamma 90.00
_symmetry_space_group_name_H-M 'I 4/m m m'
_symmetry_Int_Tables_number 139
_symmetry_space_group_name_Hall '-I 4 2'
loop_
_atom_site_label
_atom_site_fract_x
_atom_site_fract_y
_atom_site_fract_z
Ni1 0.0000 0.0000 0.0000
C1 0.0000 0.0000 0.2599
```

Summary:
**Calculated volume**: 44 Å³/cell
**ΔH_f (0 K)**: 2018 meV per atom
**Crystal system**: tetragonal
**N(E_F)**: 0.473 states/eV/atom

=====

Entry 5:
Here is a PBEsol-optimized structure of ScNb2NiPt from the Alexandria database. Energies are from meta-GGA SCAN.

The structure in CIF format:
```
data_ScNb2NiPt
_chemical_formula_sum 'Sc1 Nb2 Ni1 Pt1'
_cell_length_a 4.4840
_cell_length_b 4.4840
_cell_length_c 4.7083
_cell_angle_alpha 90.00
_cell_angle_beta 90.00
_cell_angle_gamma 90.00
_symmetry_space_group_name_H-M 'P 4/m m m'
_symmetry_Int_Tables_number 123
_symmetry_space_group_name_Hall '-P 4 2'
loop_
_atom_site_label
_atom_site_fract_x
_atom_site_fract_y
_atom_site_fract_z
Sc1 0.0000 0.0000 0.0000
Nb1 0.0000 0.5000 0.5000
Ni1 0.5000 0.5000 0.5000
Pt1 0.5000 0.5000 0.0000
```

Summary:
**Calculated volume**: 95 Å³/cell
**ΔH_f (0 K)**: 325 meV per atom
**Crystal system**: tetragonal
**N(E_F)**: 1.145 states/eV/atom

=====

Entry 6:
Here is a PBEsol-optimized structure of TiSnSb2I from the Alexandria database. Energies are from meta-GGA SCAN.

The structure in CIF format:
```
data_TiSnSb2I
_chemical_formula_sum 'Ti1 Sn1 Sb2 I1'
_cell_length_a 5.2822
_cell_length_b 5.2822
_cell_length_c 5.2948
_cell_angle_alpha 90.00
_cell_angle_beta 90.00
_cell_angle_gamma 90.00
_symmetry_space_group_name_H-M 'P 4/m m m'
_symmetry_Int_Tables_number 123
_symmetry_space_group_name_Hall '-P 4 2'
loop_
_atom_site_label
_atom_site_fract_x
_atom_site_fract_y
_atom_site_fract_z
Ti1 0.0000 0.0000 0.0000
Sn1 0.5000 0.5000 0.5000
Sb1 0.0000 0.5000 0.0000
I1 0.0000 0.0000 0.5000
```

Summary:
**Calculated volume**: 148 Å³/cell
**Crystal system**: tetragonal
**Formation energy without anion corrections**: 1.3 eV/f.u.
**N(E_F)**: 0.849 states/eV/atom

=====

Entry 7:
Here is a PBEsol-optimized structure of Li2MnP2O7 from the Alexandria database. Energies are from meta-GGA SCAN.

The structure in CIF format:
```
data_Li2MnP2O7
_chemical_formula_sum 'Li4 Mn2 P4 O14'
_cell_length_a 5.1524
_cell_length_b 7.2247
_cell_length_c 8.2716
_cell_angle_alpha 65.43
_cell_angle_beta 85.67
_cell_angle_gamma 81.07
_symmetry_space_group_name_H-M 'P -1'
_symmetry_Int_Tables_number 2
loop_
_symmetry_equiv_pos_as_xyz
'x,y,z'
'-x,-y,-z'
loop_
_atom_site_label
_atom_site_fract_x
_atom_site_fract_y
_atom_site_fract_z
Li1 0.1980 0.3220 0.0615
Li2 0.2032 0.3707 0.4929
Mn1 0.3230 0.7763 0.2192
P1 0.2374 0.9532 0.7998
P2 0.2711 0.6382 0.6743
O1 0.0568 0.0404 0.1541
O2 0.0933 0.5432 0.8322
O3 0.1634 0.6528 0.4999
O4 0.2815 0.8742 0.6421
O5 0.3260 0.1670 0.7149
O6 0.4129 0.8060 0.9553
O7 0.4412 0.4612 0.2990
```

Summary:
**Calculated volume**: 277 Å³/cell
**Crystal system**: triclinic
**Formation energy without anion corrections**: -30.1 eV/f.u.
**N(E_F)**: 0.000 states/eV/atom

=====

Entry 8:
Here is a PBEsol-optimized structure of SiI2NF from the Alexandria database. Energies are from meta-GGA SCAN.

The structure in CIF format:
```
data_SiI2NF
_chemical_formula_sum 'Si1 I2 N1 F1'
_cell_length_a 5.3826
_cell_length_b 5.3826
_cell_length_c 3.7233
_cell_angle_alpha 90.00
_cell_angle_beta 90.00
_cell_angle_gamma 90.00
_symmetry_space_group_name_H-M 'P 4/m m m'
_symmetry_Int_Tables_number 123
_symmetry_space_group_name_Hall '-P 4 2'
loop_
_atom_site_label
_atom_site_fract_x
_atom_site_fract_y
_atom_site_fract_z
Si1 0.0000 0.0000 0.0000
I1 0.0000 0.5000 0.5000
N1 0.5000 0.5000 0.0000
F1 0.5000 0.5000 0.5000
```

Summary:
**Calculated volume**: 108 Å³/cell
**Crystal system**: tetragonal
**Formation energy without anion corrections**: 6.5 eV/f.u.
**N(E_F)**: 0.512 states/eV/atom

=====

Entry 9:
Here is a PBEsol-optimized structure of AgPb from the Alexandria database. Energies are from meta-GGA SCAN.

The structure in CIF format:
```
data_AgPb
_chemical_formula_sum 'Ag4 Pb4'
_cell_length_a 3.3575
_cell_length_b 5.1494
_cell_length_c 10.5326
_cell_angle_alpha 90.00
_cell_angle_beta 90.00
_cell_angle_gamma 90.00
_symmetry_space_group_name_H-M 'I m m a'
_symmetry_Int_Tables_number 74
_symmetry_space_group_name_Hall '-I 2b 2'
loop_
_atom_site_label
_atom_site_fract_x
_atom_site_fract_y
_atom_site_fract_z
Ag1 0.0000 0.2500 0.1433
Pb1 0.0000 0.2500 0.6083
```

Summary:
**Calculated volume**: 182 Å³/cell
**ΔH_f (0 K)**: 133 meV per atom
**Crystal system**: orthorhombic
**N(E_F)**: 0.374 states/eV/atom

=====

Entry 10:
Here is a PBEsol-optimized structure of Li2AlIr from the Alexandria database. Energies are from meta-GGA SCAN.

The structure in CIF format:
```
data_Li2AlIr
_chemical_formula_sum 'Li2 Al1 Ir1'
_cell_length_a 2.8053
_cell_length_b 4.5761
_cell_length_c 4.2940
_cell_angle_alpha 90.00
_cell_angle_beta 93.56
_cell_angle_gamma 90.00
_symmetry_space_group_name_H-M 'P 1 2/m 1'
_symmetry_Int_Tables_number 10
loop_
_symmetry_equiv_pos_as_xyz
'x,y,z'
'-x,-y,-z'
'-x,y,-z'
'x,-y,z'
loop_
_atom_site_label
_atom_site_fract_x
_atom_site_fract_y
_atom_site_fract_z
Li1 0.2442 0.0000 0.2264
Al1 0.0000 0.5000 0.5000
Ir1 0.5000 0.5000 0.0000
```

Summary:
**Calculated volume**: 55 Å³/cell
**ΔH_f (0 K)**: -475 meV per atom
**Crystal system**: monoclinic
**N(E_F)**: 0.412 states/eV/atom

=====

Entry 11:
Here is a PBEsol-optimized structure of Sc2TaBr from the Alexandria database. Energies are from meta-GGA SCAN.

The structure in CIF format:
```
data_Sc2TaBr
_chemical_formula_sum 'Sc4 Ta2 Br2'
_cell_length_a 4.0071
_cell_length_b 4.8810
_cell_length_c 8.3995
_cell_angle_alpha 90.00
_cell_angle_beta 90.00
_cell_angle_gamma 90.00
_symmetry_space_group_name_H-M 'C m m m'
_symmetry_Int_Tables_number 65
_symmetry_space_group_name_Hall '-C 2 2'
loop_
_atom_site_label
_atom_site_fract_x
_atom_site_fract_y
_atom_site_fract_z
Sc1 0.0000 0.0000 0.2411
Ta1 0.0000 0.5000 0.0000
Br1 0.0000 0.5000 0.5000
```

Summary:
**Calculated volume**: 164 Å³/cell
**Crystal system**: orthorhombic
**Formation energy without anion corrections**: -1.2 eV/f.u.
**N(E_F)**: 0.785 states/eV/atom

=====

Entry 12:
Here is a PBEsol-optimized structure of CaTl2Os from the Alexandria database. Energies are from meta-GGA SCAN.

The structure in CIF format:
```
data_CaTl2Os
_chemical_formula_sum 'Ca4 Tl8 Os4'
_cell_length_a 7.0176
_cell_length_b 7.0176
_cell_length_c 7.0176
_cell_angle_alpha 90.00
_cell_angle_beta 90.00
_cell_angle_gamma 90.00
_symmetry_space_group_name_H-M 'F -4 3 m'
_symmetry_Int_Tables_number 216
_symmetry_space_group_name_Hall 'F -4 2 3'
loop_
_atom_site_label
_atom_site_fract_x
_atom_site_fract_y
_atom_site_fract_z
Ca1 0.0000 0.0000 0.0000
Tl1 0.0000 0.0000 0.5000
Tl2 0.2500 0.2500 0.7500
Os1 0.2500 0.2500 0.2500
```

Summary:
**Calculated volume**: 346 Å³/cell
**ΔH_f (0 K)**: 641 meV per atom
**Crystal system**: cubic
**N(E_F)**: 0.606 states/eV/atom